NiO2 | PBE with a Hubbard U | optimized geometry

Output
volume: 31.7 Å³/cell
E_tot: -0.33602 Ry/atom

abc: 2.8000 2.8000 4.6662
angles: 90.00 90.00 120.00
Last column: nearest neighbours and their distance in Å.
Space group P-3m1 (No. 164)
One atom of each set of equivalent atoms:
Ni  0.0000  0.0000  0.0000 x1  6 O 1.88
O  0.3333  0.6667  0.2037 x2  3 Ni 1.88